## LiTlZn2 (GGA-PBE)

Data for a relaxed LiTlZn2 crystal.

abc: 7.7391 7.7391 6.1263
angles: 50.83 50.83 90.00
Fractional positions:
Tl1 0.0000 0.0000 0.0000
Tl2 0.7500 0.2500 0.5000
Zn1 0.6074 0.1250 0.2500
Zn2 0.1426 0.6250 0.2500
Zn3 0.3750 0.3926 0.7500
Zn4 0.8750 0.8574 0.7500
Li1 0.5000 0.5000 0.0000
Li2 0.2500 0.7500 0.5000

Summary:
Space-group type   I-42d, No. 122

***

## LiTlZn17 (GGA-PBE)

Data for a relaxed LiTlZn17 crystal.

abc: 6.8553 6.8553 6.8553
angles: 83.32 83.32 83.32
Fractional positions:
Li1 0.3309 0.3309 0.3309
Tl1 0.6555 0.6555 0.6555
Zn1 0.3011 0.0043 0.6979
Zn2 0.6979 0.3011 0.0043
Zn3 0.0043 0.6979 0.3011
Zn4 0.3011 0.6979 0.0043
Zn5 0.0043 0.3011 0.6979
Zn6 0.6979 0.0043 0.3011
Zn7 0.3475 0.8473 0.3475
Zn8 0.3475 0.3475 0.8473
Zn9 0.8473 0.3475 0.3475
Zn10 0.6472 0.1598 0.6472
Zn11 0.6472 0.6472 0.1598
Zn12 0.1598 0.6472 0.6472
Zn13 0.0032 0.4985 0.0032
Zn14 0.0032 0.0032 0.4985
Zn15 0.4985 0.0032 0.0032
Zn16 0.9010 0.9010 0.9010
Zn17 0.1046 0.1046 0.1046

Summary:
Space-group type   R3m, No. 160

***

## Li2TlZn (GGA-PBE)

Data for a relaxed Li2TlZn crystal.

abc: 3.4770 3.4770 6.2726
angles: 90.00 90.00 90.00
Fractional positions:
Li1 0.0000 0.0000 0.9816
Li2 0.5000 0.5000 0.2381
Tl1 0.0000 0.0000 0.4905
Zn1 0.5000 0.5000 0.7897

Summary:
Space-group type   P4mm, No. 99

***

## Li7Tl2Zn (GGA-PBE)

Data for a relaxed Li7Tl2Zn crystal.

abc: 4.6198 4.6198 10.1888
angles: 90.00 90.00 120.00
Fractional positions:
Li1 0.3333 0.6667 0.3875
Li2 0.3333 0.6667 0.1461
Li3 0.0000 0.0000 0.3539
Li4 0.0000 0.0000 0.7675
Li5 0.6667 0.3333 0.5381
Li6 0.6667 0.3333 0.9378
Li7 0.3333 0.6667 0.9117
Tl1 0.6667 0.3333 0.2280
Tl2 0.3333 0.6667 0.6500
Zn1 0.0000 0.0000 0.0628

Summary:
Space-group type   P3m1, No. 156
Polymorph energy (0 for the lowest one)   0 meV/atom

***

## LiTlZn2 (GGA-PBE)

Data for a relaxed LiTlZn2 crystal.

abc: 9.1410 9.1410 9.1410
angles: 20.18 20.18 20.18
Fractional positions:
Li1 0.5069 0.5069 0.5069
Tl1 0.7502 0.7502 0.7502
Zn1 0.9929 0.9929 0.9929
Zn2 0.2500 0.2500 0.2500

Summary:
Space-group type   R3m, No. 160

***

## Li6Tl2Zn3 (GGA-PBE)

Data for a relaxed Li6Tl2Zn3 crystal.

abc: 3.3373 8.1091 8.1091
angles: 98.69 90.00 90.00
Fractional positions:
Li1 0.5000 0.3689 0.3689
Li2 0.5000 0.6311 0.6311
Li3 0.5000 0.9630 0.3277
Li4 0.5000 0.0370 0.6723
Li5 0.5000 0.3277 0.9630
Li6 0.5000 0.6723 0.0370
Tl1 0.0000 0.3381 0.6619
Tl2 0.0000 0.6619 0.3381
Zn1 0.0000 0.1822 0.1822
Zn2 0.0000 0.8178 0.8178
Zn3 0.5000 0.0000 0.0000

Summary:
Space-group type   Cmmm, No. 65

***

## Li2TlZn (GGA-PBE)

Data for a relaxed Li2TlZn crystal.

abc: 6.1278 6.1278 6.1278
angles: 57.15 145.52 135.90
Fractional positions:
Li1 0.0000 0.2394 0.2394
Li2 0.0000 0.7606 0.7606
Tl1 0.0000 0.5000 0.5000
Zn1 0.0000 0.0000 0.0000

Summary:
Space-group type   Immm, No. 71

***

## LiTl2Zn (GGA-PBE)

Data for a relaxed LiTl2Zn crystal.

abc: 3.5677 3.5677 7.0096
angles: 90.00 90.00 90.04
Fractional positions:
Li1 0.5000 0.5000 0.7500
Tl1 0.0000 0.0000 0.9994
Tl2 0.0000 0.0000 0.5006
Zn1 0.5000 0.5000 0.2500

Summary:
Space-group type   P4/mmm, No. 123

***

## Li15TlZn4 (GGA-PBE)

Data for a relaxed Li15TlZn4 crystal.

abc: 4.3214 4.3214 18.2594
angles: 90.00 90.00 90.00
Fractional positions:
Li1 0.5000 0.5000 0.0000
Li2 0.5000 0.5000 0.2080
Li3 0.5000 0.5000 0.4029
Li4 0.5000 0.5000 0.5971
Li5 0.5000 0.5000 0.7920
Li6 0.5000 0.0000 0.1098
Li7 0.5000 0.0000 0.3059
Li8 0.5000 0.0000 0.5000
Li9 0.5000 0.0000 0.6941
Li10 0.5000 0.0000 0.8902
Li11 0.0000 0.5000 0.1098
Li12 0.0000 0.5000 0.3059
Li13 0.0000 0.5000 0.5000
Li14 0.0000 0.5000 0.6941
Li15 0.0000 0.5000 0.8902
Tl1 0.0000 0.0000 0.0000
Zn1 0.0000 0.0000 0.2094
Zn2 0.0000 0.0000 0.4031
Zn3 0.0000 0.0000 0.5969
Zn4 0.0000 0.0000 0.7906

Summary:
Space-group type   P4/mmm, No. 123

***

## Li15Tl4Zn (GGA-PBE)

Data for a relaxed Li15Tl4Zn crystal.

abc: 4.1246 4.1246 21.9406
angles: 90.00 90.00 90.00
Fractional positions:
Li1 0.5000 0.5000 0.0000
Li2 0.5000 0.5000 0.1909
Li3 0.5000 0.5000 0.3969
Li4 0.5000 0.5000 0.6031
Li5 0.5000 0.5000 0.8091
Li6 0.5000 0.0000 0.0909
Li7 0.5000 0.0000 0.2936
Li8 0.5000 0.0000 0.5000
Li9 0.5000 0.0000 0.7064
Li10 0.5000 0.0000 0.9091
Li11 0.0000 0.5000 0.0909
Li12 0.0000 0.5000 0.2936
Li13 0.0000 0.5000 0.5000
Li14 0.0000 0.5000 0.7064
Li15 0.0000 0.5000 0.9091
Tl1 0.0000 0.0000 0.1924
Tl2 0.0000 0.0000 0.3964
Tl3 0.0000 0.0000 0.6036
Tl4 0.0000 0.0000 0.8076
Zn1 0.0000 0.0000 0.0000

Summary:
Space-group type   P4/mmm, No. 123

***

## Li7TlZn2 (GGA-PBE)

Data for a relaxed Li7TlZn2 crystal.

abc: 4.5506 4.5506 9.6853
angles: 90.00 90.00 120.00
Fractional positions:
Li1 0.3333 0.6667 0.2669
Li2 0.3333 0.6667 0.0156
Li3 0.0000 0.0000 0.3530
Li4 0.0000 0.0000 0.6370
Li5 0.6667 0.3333 0.8252
Li6 0.6667 0.3333 0.1393
Li7 0.3333 0.6667 0.7692
Tl1 0.0000 0.0000 0.9723
Zn1 0.6667 0.3333 0.4885
Zn2 0.3333 0.6667 0.5163

Summary:
Space-group type   P3m1, No. 156
Polymorph energy (0 for the lowest one)   0 meV/atom

***

## Li4TlZn (GGA-PBE)

Data for a relaxed Li4TlZn crystal.

abc: 4.6411 4.6415 5.5615
angles: 89.92 89.98 120.01
Fractional positions:
Li1 0.6711 0.8332 0.2423
Li2 0.3372 0.1656 0.7538
Li3 0.6705 0.8323 0.7548
Li4 0.3377 0.1665 0.2413
Tl1 0.0047 0.4994 0.4982
Zn1 0.0030 0.4996 0.9984

Summary:
Space-group type   C2, No. 5
Polymorph energy (0 for the lowest one)   0 meV/atom

***

| no. | energy of formation from the pure elements (eV per formula unit) | size of the total moment (Bohr magnetons per cell) |
| --- | --- | --- |
| 1 | 0.47 | 0.00 |
| 2 | 0.31 | 0.00 |
| 3 | -0.47 | 0.00 |
| 4 | -1.03 | 0.00 |
| 5 | 0.31 | 0.00 |
| 6 | -0.60 | 0.00 |
| 7 | 0.47 | 0.00 |
| 8 | -0.12 | 0.00 |
| 9 | -2.30 | 0.00 |
| 10 | -3.36 | 0.00 |
| 11 | -0.90 | 0.00 |
| 12 | -1.07 | 0.00 |